1.
AcTh3S4 PBE-GGA optimized geometry; D(E_F) = 0.6381 states/eV per atom; VASP energy = -7.21 eV/atom; SG = Cmmm, No. 65; magnetization = 0.00 μB/f.u.
1.0
4.076 -5.800 0.000
4.076 5.800 0.000
0.000 0.000 4.135
Ac Th S
1 3 4
Cartesian
0.000 0.000 0.000
2.038 2.900 2.067
2.038 -2.900 2.067
4.076 0.000 0.000
4.076 2.843 0.000
2.120 0.000 2.067
6.032 0.000 2.067
4.076 -2.843 0.000

2.
Ac2ThS6 PBE-GGA optimized geometry; D(E_F) = 0.6911 states/eV per atom; relative energy among the computed polymorphs = 0.000 eV/f.u.; SG = P-62m, No. 189; magnetization = 0.00 μB/f.u.
1.0
7.720 0.000 0.000
-3.860 6.686 0.000
0.000 0.000 4.255
Ac Th S
2 1 6
Cartesian
0.000 4.457 0.000
3.860 2.229 0.000
0.000 0.000 2.127
-0.944 1.635 0.000
-2.324 4.025 2.127
1.888 0.000 0.000
1.536 2.660 2.127
4.648 0.000 2.127
2.916 5.051 0.000

Which formula does entry 2 have? Ac2ThS6